Entry P
DFT (PBE) results for a relaxed ReHg2Ru crystal.

Lattice parameters (Å, degrees): 2.8846 4.9774 10.3165 90.00 90.00 90.00
With the nearest neighbours (Å) after each atom.
Space group Cmm2 (No. 35)
Inequivalent atoms, fractional coordinates:
1 Re 0.0000 0.0000 0.0000  2 Ru 2.52
2 Hg 0.0000 0.0000 0.5501  6 Hg 2.88, 2 Ru 2.95
3 Hg 0.0000 0.5000 0.2578  6 Hg 2.88, 2 Re 3.03
4 Ru 0.0000 0.5000 0.7996  2 Re 2.52

Output
**Mass density**: 15.44 g/cm³


Entry Q
DFT (PBE) results for a relaxed ReHg2Ru crystal.

Lattice parameters (Å, degrees): 4.0831 4.0831 8.4895 90.00 90.00 90.00
With the nearest neighbours (Å) after each atom.
Space group I4/mmm (No. 139)
Inequivalent atoms, fractional coordinates:
1 Re 0.0000 0.0000 0.0000  4 Ru 2.89, 8 Hg 2.94
2 Hg 0.0000 0.5000 0.2500  4 Hg 2.89, 4 Re 2.94, 4 Ru 2.94
3 Ru 0.0000 0.0000 0.5000  4 Re 2.89, 8 Hg 2.94

Output
**Mass density**: 16.15 g/cm³


Entry R
DFT (PBE) results for a relaxed ReHg2Ru crystal.

Lattice parameters (Å, degrees): 7.6131 7.6131 5.3492 90.00 90.00 90.00
With the nearest neighbours (Å) after each atom.
Space group I-42d (No. 122)
Inequivalent atoms, fractional coordinates:
1 Re 0.0000 0.0000 0.0000  2 Ru 2.67, 4 Hg 2.79
2 Hg 0.2476 0.2500 0.6250  2 Hg 2.67, 2 Ru 2.76, 2 Re 2.79
3 Ru 0.0000 0.0000 0.5000  2 Re 2.67, 4 Hg 2.76

Output
**Mass density**: 14.75 g/cm³


Entry S
DFT (PBE) results for a relaxed ReHg2Ru crystal.

Lattice parameters (Å, degrees): 2.8346 4.8747 10.7641 90.00 90.00 90.00
With the nearest neighbours (Å) after each atom.
Space group Imm2 (No. 44)
Inequivalent atoms, fractional coordinates:
1 Re 0.0000 0.0000 0.0000  2 Ru 2.48
2 Hg 0.0000 0.0000 0.4474  2 Hg 2.83, 4 Re 2.88, 2 Ru 3.12
3 Hg 0.0000 0.5000 0.2409  2 Hg 2.83, 4 Ru 2.87, 2 Re 3.13
4 Ru 0.0000 0.5000 0.6894  2 Re 2.48

Output
**Mass density**: 15.37 g/cm³


Short version: entry R is the least stable of them.


Entry P
DFT (PBE) results for a relaxed ReHg2Ru crystal.

Lattice parameters (Å, degrees): 2.8436 2.8436 8.7353 90.00 90.00 90.00
With the nearest neighbours (Å) after each atom.
Space group P4/mmm (No. 123)
Inequivalent atoms, fractional coordinates:
1 Re 0.0000 0.0000 0.0000  4 Re 2.84, 8 Hg 3.00
2 Hg 0.5000 0.5000 0.2555  4 Hg 2.84, 4 Ru 2.93, 4 Re 3.00
3 Ru 0.0000 0.0000 0.5000  4 Ru 2.84, 8 Hg 2.93

Output
**Mass density**: 16.18 g/cm³


Entry Q
DFT (PBE) results for a relaxed ReHg2Ru crystal.

Lattice parameters (Å, degrees): 2.9384 4.9051 9.8228 90.00 90.00 90.00
With the nearest neighbours (Å) after each atom.
Space group Cmmm (No. 65)
Inequivalent atoms, fractional coordinates:
1 Re 0.0000 0.0000 0.0000  6 Re 2.86-2.94, 4 Hg 2.90
2 Hg 0.0000 0.5000 0.2548  2 Ru 2.82, 6 Hg 2.86-2.94, 2 Re 2.90
3 Ru 0.0000 0.0000 0.5000  4 Hg 2.82, 6 Ru 2.86-2.94

Output
**Mass density**: 16.15 g/cm³


Entry R
DFT (PBE) results for a relaxed ReHg2Ru crystal.

Lattice parameters (Å, degrees): 9.5190 2.9353 5.0429 90.00 100.60 90.00
With the nearest neighbours (Å) after each atom.
Space group C2/m (No. 12)
Inequivalent atoms, fractional coordinates:
1 Re 0.0000 0.0000 0.0000  6 Hg 2.89, 4 Ru 2.92, 2 Re 2.94
2 Hg 0.2487 0.0000 0.7479  3 Ru 2.87-2.90, 3 Re 2.89, 6 Hg 2.90-2.94
3 Ru 0.0000 0.5000 0.5000  6 Hg 2.87-2.90, 4 Re 2.92, 2 Ru 2.94

Output
**Mass density**: 16.51 g/cm³


Entry S
DFT (PBE) results for a relaxed ReHg2Ru crystal.

Lattice parameters (Å, degrees): 6.5233 6.5233 6.5233 90.00 90.00 90.00
With the nearest neighbours (Å) after each atom.
Space group Fm-3m (No. 225)
Inequivalent atoms, fractional coordinates:
1 Re 0.0000 0.0000 0.0000  8 Hg 2.82
2 Hg 0.2500 0.2500 0.2500  4 Re 2.82, 4 Ru 2.82
3 Ru 0.0000 0.0000 0.5000  8 Hg 2.82

Output
**Mass density**: 16.47 g/cm³


Short version: entry S is the least stable of them.


Entry P
DFT (PBE) results for a relaxed ReHg2Ru crystal.

Lattice parameters (Å, degrees): 6.5521 6.5521 6.5521 90.00 90.00 90.00
With the nearest neighbours (Å) after each atom.
Space group F-43m (No. 216)
Inequivalent atoms, fractional coordinates:
1 Re 0.0000 0.0000 0.0000  4 Hg 2.84, 4 Ru 2.84
2 Hg 0.0000 0.0000 0.5000  4 Hg 2.84, 4 Ru 2.84
3 Hg 0.2500 0.2500 0.7500  4 Hg 2.84, 4 Re 2.84
4 Ru 0.2500 0.2500 0.2500  4 Hg 2.84, 4 Re 2.84

Output
**Mass density**: 16.26 g/cm³


Entry Q
DFT (PBE) results for a relaxed ReHg2Ru crystal.

Lattice parameters (Å, degrees): 2.8085 4.3483 5.7897 90.00 90.00 90.00
With the nearest neighbours (Å) after each atom.
Space group Pmmm (No. 47)
Inequivalent atoms, fractional coordinates:
1 Re 0.0000 0.0000 0.0000  2 Re 2.81, 2 Ru 2.89, 8 Hg 2.97
2 Hg 0.5000 0.5000 0.2510  4 Hg 2.81-2.91, 4 Ru 2.96, 4 Re 2.97
3 Ru 0.0000 0.0000 0.5000  2 Ru 2.81, 2 Re 2.89, 8 Hg 2.96

Output
**Mass density**: 16.17 g/cm³


Short version: entry P is the least stable of them.


Entry P
DFT (PBE) results for a relaxed ReHgS3 crystal.

Lattice parameters (Å, degrees): 4.6816 4.6816 4.6816 90.00 90.00 90.00
With the nearest neighbours (Å) after each atom.
Space group Pm-3m (No. 221)
Inequivalent atoms, fractional coordinates:
1 Re 0.0000 0.0000 0.0000  6 S 2.34
2 Hg 0.5000 0.5000 0.5000  12 S 3.31
3 S 0.0000 0.0000 0.5000  2 Re 2.34

Output
**Mass density**: 7.82 g/cm³


Entry Q
DFT (PBE) results for a relaxed ReHgS3 crystal.

Lattice parameters (Å, degrees): 4.9310 4.9310 4.9310 90.00 90.00 90.00
With the nearest neighbours (Å) after each atom.
Space group Pm-3m (No. 221)
Inequivalent atoms, fractional coordinates:
1 Re 0.0000 0.0000 0.0000  12 S 3.49
2 Hg 0.5000 0.5000 0.5000  6 S 2.47
3 S 0.0000 0.5000 0.5000  2 Hg 2.47

Output
**Mass density**: 6.69 g/cm³


Short version: entry Q is the least stable of them.


Entry P
DFT (PBE) results for a relaxed Re2Hg2S crystal.

Lattice parameters (Å, degrees): 3.8396 3.8396 13.4870 90.00 90.00 90.00
With the nearest neighbours (Å) after each atom.
Space group I4/mmm (No. 139)
Inequivalent atoms, fractional coordinates:
1 Re 0.0000 0.0000 0.0838  1 Re 2.26
2 Hg 0.0000 0.5000 0.2500  4 Hg 2.72, 4 Re 2.95
3 S 0.0000 0.0000 0.5000  8 Re 2.94

Output
**Mass density**: 13.46 g/cm³


Entry Q
DFT (PBE) results for a relaxed Re2Hg2S crystal.

Lattice parameters (Å, degrees): 6.0526 6.0526 4.9682 90.00 90.00 90.00
With the nearest neighbours (Å) after each atom.
Space group P4/mbm (No. 127)
Inequivalent atoms, fractional coordinates:
1 Re 0.1486 0.3514 0.0000  2 S 2.31, 1 Re 2.54
2 Hg 0.1755 0.6755 0.5000  6 Re 2.90-3.17, 5 Hg 3.01-3.16
3 S 0.0000 0.0000 0.0000  4 Re 2.31

Output
**Mass density**: 14.70 g/cm³


Short version: entry P is the least stable of them.


Entry P
DFT (PBE) results for a relaxed ReHgSb3 crystal.

Lattice parameters (Å, degrees): 5.4433 5.4433 5.4433 90.00 90.00 90.00
With the nearest neighbours (Å) after each atom.
Space group Pm-3m (No. 221)
Inequivalent atoms, fractional coordinates:
1 Re 0.0000 0.0000 0.0000  12 Sb 3.85
2 Hg 0.5000 0.5000 0.5000  6 Sb 2.72
3 Sb 0.0000 0.5000 0.5000  2 Hg 2.72

Output
**Mass density**: 7.74 g/cm³


Entry Q
DFT (PBE) results for a relaxed ReHgSb3 crystal.

Lattice parameters (Å, degrees): 5.2280 5.2280 5.2280 90.00 90.00 90.00
With the nearest neighbours (Å) after each atom.
Space group Pm-3m (No. 221)
Inequivalent atoms, fractional coordinates:
1 Re 0.0000 0.0000 0.0000  6 Sb 2.61
2 Hg 0.5000 0.5000 0.5000  12 Sb 3.70
3 Sb 0.0000 0.0000 0.5000  2 Re 2.61

Output
**Mass density**: 8.74 g/cm³


Short version: entry P is the least stable of them.


Entry P
DFT (PBE) results for a relaxed Sc3ReHg crystal.

Lattice parameters (Å, degrees): 5.0536 5.0536 5.0536 90.00 90.00 90.00
With the nearest neighbours (Å) after each atom.
Space group Pm-3m (No. 221)
Inequivalent atoms, fractional coordinates:
1 Sc 0.0000 0.0000 0.5000  2 Re 2.53
2 Re 0.0000 0.0000 0.0000  6 Sc 2.53
3 Hg 0.5000 0.5000 0.5000  12 Sc 3.57

Output
**Mass density**: 6.71 g/cm³


Entry Q
DFT (PBE) results for a relaxed Sc3ReHg crystal.

Lattice parameters (Å, degrees): 5.1176 5.1176 5.1176 90.00 90.00 90.00
With the nearest neighbours (Å) after each atom.
Space group Pm-3m (No. 221)
Inequivalent atoms, fractional coordinates:
1 Sc 0.0000 0.0000 0.5000  2 Hg 2.56
2 Re 0.5000 0.5000 0.5000  12 Sc 3.62
3 Hg 0.0000 0.0000 0.0000  6 Sc 2.56

Output
**Mass density**: 6.46 g/cm³


Short version: entry Q is the least stable of them.


Entry P
DFT (PBE) results for a relaxed Re3HgSe crystal.

Lattice parameters (Å, degrees): 4.9519 4.9519 4.9519 90.00 90.00 90.00
With the nearest neighbours (Å) after each atom.
Space group Pm-3m (No. 221)
Inequivalent atoms, fractional coordinates:
1 Re 0.0000 0.0000 0.5000  2 Hg 2.48
2 Hg 0.0000 0.0000 0.0000  6 Re 2.48
3 Se 0.5000 0.5000 0.5000  12 Re 3.50

Output
**Mass density**: 11.46 g/cm³


Entry Q
DFT (PBE) results for a relaxed Re3HgSe crystal.

Lattice parameters (Å, degrees): 4.5769 4.5769 4.5769 90.00 90.00 90.00
With the nearest neighbours (Å) after each atom.
Space group Pm-3m (No. 221)
Inequivalent atoms, fractional coordinates:
1 Re 0.0000 0.0000 0.5000  2 Se 2.29
2 Hg 0.5000 0.5000 0.5000  12 Re 3.24
3 Se 0.0000 0.0000 0.0000  6 Re 2.29

Output
**Mass density**: 14.52 g/cm³


Short version: entry P is the least stable of them.


Entry P
DFT (PBE) results for a relaxed Re2SiHg crystal.

Lattice parameters (Å, degrees): 3.9810 3.9810 7.9104 90.00 90.00 90.00
With the nearest neighbours (Å) after each atom.
Space group I-4m2 (No. 119)
Inequivalent atoms, fractional coordinates:
1 Re 0.0000 0.0000 0.0000  4 Re 2.81, 4 Si 2.81, 4 Hg 2.82
2 Re 0.0000 0.5000 0.2500  4 Hg 2.81, 4 Re 2.81, 4 Si 2.82
3 Si 0.0000 0.5000 0.7500  8 Re 2.81-2.82, 4 Hg 2.81
4 Hg 0.0000 0.0000 0.5000  8 Re 2.81-2.82, 4 Si 2.81

Output
**Mass density**: 15.92 g/cm³


Entry Q
DFT (PBE) results for a relaxed Re2SiHg crystal.

Lattice parameters (Å, degrees): 2.9383 3.9418 5.6759 90.00 102.43 90.00
With the nearest neighbours (Å) after each atom.
Space group P2/m (No. 10)
Inequivalent atoms, fractional coordinates:
1 Re 0.1344 0.0000 0.2927  2 Si 2.42, 1 Re 2.64
2 Si 0.5000 0.5000 0.5000  4 Re 2.42
3 Hg 0.5000 0.5000 0.0000  2 Si 2.84, 8 Re 2.93-2.96, 2 Hg 2.94

Output
**Mass density**: 15.55 g/cm³


Short version: entry P is the least stable of them.


Entry P
DFT (PBE) results for a relaxed Re2SiHg crystal.

Lattice parameters (Å, degrees): 8.4870 2.9163 5.4242 90.00 102.76 90.00
With the nearest neighbours (Å) after each atom.
Space group C2/m (No. 12)
Inequivalent atoms, fractional coordinates:
1 Re 0.2346 0.0000 0.1976  3 Si 2.51-2.70, 2 Re 2.65
2 Si 0.0000 0.5000 0.0000  6 Re 2.51-2.70
3 Hg 0.0000 0.0000 0.5000  6 Re 2.85-2.87, 2 Hg 2.92, 4 Si 3.08

Output
**Mass density**: 15.25 g/cm³


Entry Q
DFT (PBE) results for a relaxed Re2SiHg crystal.

Lattice parameters (Å, degrees): 3.0409 4.4064 9.5155 90.00 90.00 90.00
With the nearest neighbours (Å) after each atom.
Space group Imm2 (No. 44)
Inequivalent atoms, fractional coordinates:
1 Re 0.0000 0.0000 0.0000  2 Si 2.47, 4 Hg 2.70
2 Re 0.0000 0.5000 0.2537  4 Si 2.72, 4 Re 2.79-3.04, 2 Hg 2.96
3 Si 0.0000 0.5000 0.7043  6 Re 2.47-2.72
4 Hg 0.0000 0.0000 0.4611  6 Re 2.70-2.96, 2 Si 2.88

Output
**Mass density**: 15.66 g/cm³


Entry R
DFT (PBE) results for a relaxed Re2SiHg crystal.

Lattice parameters (Å, degrees): 2.8750 2.8750 26.4165 90.00 90.00 120.00
With the nearest neighbours (Å) after each atom.
Space group R-3m (No. 166, hexagonal axes)
Inequivalent atoms, fractional coordinates:
1 Re 0.0000 0.0000 0.2398  3 Si 2.55
2 Si 0.0000 0.0000 0.5000  6 Re 2.55
3 Hg 0.0000 0.0000 0.0000  6 Hg 2.88, 6 Re 2.98

Output
**Mass density**: 15.84 g/cm³


Entry S
DFT (PBE) results for a relaxed Re2SiHg crystal.

Lattice parameters (Å, degrees): 2.8711 2.8711 27.7383 90.00 90.00 120.00
With the nearest neighbours (Å) after each atom.
Space group R3m (No. 160, hexagonal axes)
Inequivalent atoms, fractional coordinates:
1 Re 0.0000 0.0000 0.0000  9 Re 2.64-2.87
2 Re 0.0000 0.0000 0.2594  3 Si 2.63, 9 Re 2.64-2.87
3 Si 0.0000 0.0000 0.5189  3 Re 2.63, 6 Si 2.87
4 Hg 0.0000 0.0000 0.7588  6 Hg 2.87, 3 Re 3.05, 3 Si 3.08

Output
**Mass density**: 15.12 g/cm³


Short version: entry Q is the least stable of them.


Entry P
DFT (PBE) results for a relaxed Re2SiHg crystal.

Lattice parameters (Å, degrees): 4.4379 4.4379 3.1295 90.00 90.00 90.00
With the nearest neighbours (Å) after each atom.
Space group P4/mmm (No. 123)
Inequivalent atoms, fractional coordinates:
1 Re 0.0000 0.5000 0.0000  4 Hg 2.72, 4 Si 2.72
2 Si 0.0000 0.0000 0.5000  8 Re 2.72
3 Hg 0.5000 0.5000 0.5000  8 Re 2.72

Output
**Mass density**: 16.19 g/cm³


Entry Q
DFT (PBE) results for a relaxed Re2SiHg crystal.

Lattice parameters (Å, degrees): 8.9817 2.9832 4.9764 90.00 95.67 90.00
With the nearest neighbours (Å) after each atom.
Space group Cm (No. 8)
Inequivalent atoms, fractional coordinates:
1 Re 0.0000 0.0000 0.0000  2 Si 2.47, 3 Re 2.66-2.67
2 Re 0.2324 0.5000 0.1904  3 Si 2.61-2.73, 3 Re 2.66-2.67, 4 Hg 2.90-2.91
3 Si 0.4737 0.0000 0.3882  5 Re 2.47-2.73, 1 Hg 2.62
4 Hg 0.2523 0.0000 0.6946  1 Si 2.62, 5 Re 2.85-2.91

Output
**Mass density**: 15.05 g/cm³


Short version: entry P is the least stable of them.